[1]
Compound: RbCaMn3
Source: Alexandria via LeMat-Bulk
Functional: PBE-GGA
Structure: relaxed

Lattice parameters (Å, degrees): 5.6280 5.6280 5.6280 90.00 90.00 90.00
With the nearest neighbours (Å) after each atom.
Atoms (fractional coordinates):
Rb  0.0000  0.0000  0.0000  12 Mn 3.98
Ca  0.5000  0.5000  0.5000  6 Mn 2.81
Mn  0.0000  0.5000  0.5000  2 Ca 2.81
Mn  0.5000  0.0000  0.5000  2 Ca 2.81
Mn  0.5000  0.5000  0.0000  2 Ca 2.81

Results
energy of formation from the pure elements = 1.4888 eV/atom
density of states at the Fermi level = 4.51 states/eV per cell
DFT total energy = -0.1693 Ha/atom
space-group type = No. 221



[2]
Compound: KMoCl3
Source: Alexandria via LeMat-Bulk
Functional: PBE-GGA
Structure: relaxed

Lattice parameters (Å, degrees): 5.1692 5.1692 5.1692 90.00 90.00 90.00
With the nearest neighbours (Å) after each atom.
Atoms (fractional coordinates):
K  0.0000  0.0000  0.0000  12 Cl 3.66
Mo  0.5000  0.5000  0.5000  6 Cl 2.58
Cl  0.0000  0.5000  0.5000  2 Mo 2.58
Cl  0.5000  0.0000  0.5000  2 Mo 2.58
Cl  0.5000  0.5000  0.0000  2 Mo 2.58

Results
density of states at the Fermi level = 0.74 states/eV per cell
DFT total energy = -0.1625 Ha/atom
space-group type = No. 221



[3]
Compound: HoHgBiRh
Source: Alexandria via LeMat-Bulk
Functional: PBE-GGA
Structure: relaxed

Lattice parameters (Å, degrees): 7.1233 7.1233 7.1233 90.00 90.00 90.00
With the nearest neighbours (Å) after each atom.
Atoms (fractional coordinates):
Ho  0.0000  0.0000  0.0000  4 Rh 3.08, 4 Hg 3.08
Ho  0.0000  0.5000  0.5000  4 Rh 3.08, 4 Hg 3.08
Ho  0.5000  0.0000  0.5000  4 Rh 3.08, 4 Hg 3.08
Ho  0.5000  0.5000  0.0000  4 Rh 3.08, 4 Hg 3.08
Hg  0.2500  0.2500  0.2500  4 Ho 3.08, 4 Bi 3.08
Hg  0.2500  0.7500  0.7500  4 Ho 3.08, 4 Bi 3.08
Hg  0.7500  0.2500  0.7500  4 Ho 3.08, 4 Bi 3.08
Hg  0.7500  0.7500  0.2500  4 Ho 3.08, 4 Bi 3.08
Bi  0.0000  0.0000  0.5000  4 Hg 3.08, 4 Rh 3.08
Bi  0.0000  0.5000  0.0000  4 Hg 3.08, 4 Rh 3.08
Bi  0.5000  0.0000  0.0000  4 Hg 3.08, 4 Rh 3.08
Bi  0.5000  0.5000  0.5000  4 Hg 3.08, 4 Rh 3.08
Rh  0.2500  0.2500  0.7500  4 Ho 3.08, 4 Bi 3.08
Rh  0.2500  0.7500  0.2500  4 Bi 3.08, 4 Ho 3.08
Rh  0.7500  0.2500  0.2500  4 Bi 3.08, 4 Ho 3.08
Rh  0.7500  0.7500  0.7500  4 Bi 3.08, 4 Ho 3.08

Results
energy of formation from the pure elements = -0.3247 eV/atom
density of states at the Fermi level = 17.52 states/eV per cell
DFT total energy = -0.1600 Ha/atom
space-group type = No. 216



[4]
Compound: KRhBr6
Source: Alexandria via LeMat-Bulk
Functional: PBE-GGA
Structure: relaxed

Lattice parameters (Å, degrees): 6.2862 6.2862 6.2862 97.65 97.65 97.65
With the nearest neighbours (Å) after each atom.
Atoms (fractional coordinates):
K  0.0000  0.0000  0.0000  12 Br 3.46-3.76
Rh  0.5000  0.5000  0.5000  6 Br 2.49
Br  0.2195  0.2195  0.5860  1 Rh 2.49
Br  0.2195  0.5860  0.2195  1 Rh 2.49
Br  0.4140  0.7805  0.7805  1 Rh 2.49
Br  0.5860  0.2195  0.2195  1 Rh 2.49
Br  0.7805  0.4140  0.7805  1 Rh 2.49
Br  0.7805  0.7805  0.4140  1 Rh 2.49

Results
density of states at the Fermi level = 8.09 states/eV per cell
DFT total energy = -0.1040 Ha/atom
space-group type = No. 166



[5]
Compound: HgRu3
Source: Alexandria via LeMat-Bulk
Functional: PBE-GGA
Structure: relaxed

Lattice parameters (Å, degrees): 4.4622 5.5524 5.0638 90.00 90.00 90.00
With the nearest neighbours (Å) after each atom.
Atoms (fractional coordinates):
Hg  0.2500  0.2500  0.1307  12 Ru 2.75-2.93
Hg  0.7500  0.7500  0.8693  12 Ru 2.75-2.93
Ru  0.2500  0.5138  0.6311  6 Ru 2.60-2.82, 2 Hg 2.86
Ru  0.2500  0.7500  0.1869  6 Ru 2.60-2.82, 4 Hg 2.75-2.79
Ru  0.2500  0.9862  0.6311  6 Ru 2.60-2.82, 2 Hg 2.86
Ru  0.7500  0.0138  0.3689  6 Ru 2.60-2.82, 2 Hg 2.86
Ru  0.7500  0.2500  0.8131  6 Ru 2.60-2.82, 4 Hg 2.75-2.79
Ru  0.7500  0.4862  0.3689  6 Ru 2.60-2.82, 2 Hg 2.86

Results
energy of formation from the pure elements = 0.5007 eV/atom
density of states at the Fermi level = 9.47 states/eV per cell
DFT total energy = -0.2400 Ha/atom
space-group type = No. 59



[6]
Compound: Ag2Se
Source: Alexandria via LeMat-Bulk
Functional: PBE-GGA
Structure: relaxed

Lattice parameters (Å, degrees): 4.9189 7.0818 7.2013 90.00 90.00 90.00
With the nearest neighbours (Å) after each atom.
Atoms (fractional coordinates):
Ag  0.2491  0.0507  0.0809  4 Se 2.69-2.90, 4 Ag 2.95-2.96
Ag  0.2493  0.6790  0.8946  4 Se 2.83-2.92, 6 Ag 2.95-3.06
Ag  0.2507  0.3210  0.3946  4 Se 2.83-2.92, 6 Ag 2.95-3.06
Ag  0.2509  0.9493  0.5809  4 Se 2.69-2.90, 4 Ag 2.95-2.96
Ag  0.7491  0.4493  0.9191  4 Se 2.69-2.90, 4 Ag 2.95-2.96
Ag  0.7493  0.8210  0.1054  4 Se 2.83-2.92, 6 Ag 2.95-3.06
Ag  0.7507  0.1790  0.6054  4 Se 2.83-2.92, 6 Ag 2.95-3.06
Ag  0.7509  0.5507  0.4191  4 Se 2.69-2.90, 4 Ag 2.95-2.96
Se  0.2495  0.2822  0.7853  8 Ag 2.69-2.92
Se  0.2505  0.7178  0.2853  8 Ag 2.69-2.92
Se  0.7495  0.2178  0.2147  8 Ag 2.69-2.92
Se  0.7505  0.7822  0.7147  8 Ag 2.69-2.92

Results
density of states at the Fermi level = 1.04 states/eV per cell
DFT total energy = -0.1145 Ha/atom
space-group type = No. 19



[7]
Compound: BeTlCl2
Source: Alexandria via LeMat-Bulk
Functional: PBE-GGA
Structure: relaxed

Lattice parameters (Å, degrees): 3.0858 6.8296 11.5894 90.00 90.00 90.00
With the nearest neighbours (Å) after each atom.
Atoms (fractional coordinates):
Be  0.0000  0.0000  0.0000  4 Cl 2.12
Be  0.5000  0.5000  0.0000  4 Cl 2.12
Tl  0.0000  0.0000  0.5000  2 Tl 3.09
Tl  0.5000  0.5000  0.5000  2 Tl 3.09
Cl  0.0000  0.5000  0.1253  2 Be 2.12
Cl  0.0000  0.5000  0.8747  2 Be 2.12
Cl  0.5000  0.0000  0.1253  2 Be 2.12
Cl  0.5000  0.0000  0.8747  2 Be 2.12

Results
density of states at the Fermi level = 2.04 states/eV per cell
DFT total energy = -0.1146 Ha/atom
space-group type = No. 65



[8]
Compound: SrPmY2
Source: Alexandria via LeMat-Bulk
Functional: PBE-GGA
Structure: relaxed

Lattice parameters (Å, degrees): 3.7282 3.7282 10.6537 90.00 90.00 90.00
With the nearest neighbours (Å) after each atom.
Atoms (fractional coordinates):
Sr  0.0000  0.0000  0.0000  4 Sr 3.73, 8 Y 3.96
Pm  0.0000  0.0000  0.5000  8 Y 3.55, 4 Pm 3.73
Y  0.5000  0.5000  0.2773  4 Pm 3.55, 4 Y 3.73, 4 Sr 3.96
Y  0.5000  0.5000  0.7227  4 Pm 3.55, 4 Y 3.73, 4 Sr 3.96

Results
energy of formation from the pure elements = 0.1181 eV/atom
density of states at the Fermi level = 6.64 states/eV per cell
DFT total energy = -0.1735 Ha/atom
space-group type = No. 123



[9]
Compound: Dy3VPd12
Source: Alexandria via LeMat-Bulk
Functional: PBE-GGA
Structure: relaxed

Lattice parameters (Å, degrees): 4.0666 4.0666 16.2189 90.00 90.00 90.00
With the nearest neighbours (Å) after each atom.
Atoms (fractional coordinates):
Dy  0.0000  0.0000  0.0000  12 Pd 2.88-2.92
Dy  0.0000  0.0000  0.2545  12 Pd 2.88-2.98
Dy  0.0000  0.0000  0.7455  12 Pd 2.88-2.98
V  0.0000  0.0000  0.5000  12 Pd 2.71-2.88
Pd  0.0000  0.5000  0.1291  4 Dy 2.88-2.92, 8 Pd 2.88-2.93
Pd  0.0000  0.5000  0.3891  8 Pd 2.71-2.93, 2 V 2.71, 2 Dy 2.98
Pd  0.0000  0.5000  0.6109  8 Pd 2.71-2.93, 2 V 2.71, 2 Dy 2.98
Pd  0.0000  0.5000  0.8709  4 Dy 2.88-2.92, 8 Pd 2.88-2.93
Pd  0.5000  0.0000  0.1291  4 Dy 2.88-2.92, 8 Pd 2.88-2.93
Pd  0.5000  0.0000  0.3891  8 Pd 2.71-2.93, 2 V 2.71, 2 Dy 2.98
Pd  0.5000  0.0000  0.6109  8 Pd 2.71-2.93, 2 V 2.71, 2 Dy 2.98
Pd  0.5000  0.0000  0.8709  4 Dy 2.88-2.92, 8 Pd 2.88-2.93
Pd  0.5000  0.5000  0.0000  4 Dy 2.88, 8 Pd 2.92
Pd  0.5000  0.5000  0.2592  4 Dy 2.88, 8 Pd 2.93
Pd  0.5000  0.5000  0.5000  8 Pd 2.71, 4 V 2.88
Pd  0.5000  0.5000  0.7408  4 Dy 2.88, 8 Pd 2.93

Results
energy of formation from the pure elements = -0.7200 eV/atom
density of states at the Fermi level = 6.36 states/eV per cell
DFT total energy = -0.2222 Ha/atom
space-group type = No. 123



[10]
Compound: Ce5AlRh5
Source: Alexandria via LeMat-Bulk
Functional: PBE-GGA
Structure: relaxed

Lattice parameters (Å, degrees): 6.4953 6.4953 8.5992 109.10 109.10 48.89
With the nearest neighbours (Å) after each atom.
Atoms (fractional coordinates):
Ce  0.0000  0.0000  0.0000  4 Rh 2.63-2.69
Ce  0.3232  0.3232  0.6535  5 Rh 2.74-2.96
Ce  0.3305  0.3305  0.1757  3 Rh 2.71-2.79
Ce  0.6695  0.6695  0.8243  3 Rh 2.71-2.79
Ce  0.6768  0.6768  0.3465  5 Rh 2.74-2.96
Al  0.0000  0.0000  0.5000  6 Rh 2.55-2.69
Rh  0.1301  0.1301  0.3199  1 Al 2.55, 3 Ce 2.63-2.74
Rh  0.1408  0.1408  0.8139  1 Al 2.61, 3 Ce 2.69-2.71
Rh  0.5000  0.5000  0.5000  2 Al 2.69, 4 Ce 2.79-2.85
Rh  0.8592  0.8592  0.1861  1 Al 2.61, 3 Ce 2.69-2.71
Rh  0.8699  0.8699  0.6801  1 Al 2.55, 3 Ce 2.63-2.74

Results
energy of formation from the pure elements = -0.5956 eV/atom
density of states at the Fermi level = 19.71 states/eV per cell
DFT total energy = -0.2563 Ha/atom
space-group type = No. 12



[11]
Compound: MnP2PbCl
Source: Alexandria via LeMat-Bulk
Functional: PBE-GGA
Structure: relaxed

Lattice parameters (Å, degrees): 5.2350 5.2350 5.3085 90.00 90.00 90.00
With the nearest neighbours (Å) after each atom.
Atoms (fractional coordinates):
Mn  0.0000  0.0000  0.0000  4 Cl 3.70, 8 P 3.73
P  0.0000  0.5000  0.5000  2 Pb 2.62
P  0.5000  0.0000  0.5000  2 Pb 2.62
Pb  0.5000  0.5000  0.5000  4 P 2.62, 2 Cl 2.65
Cl  0.5000  0.5000  0.0000  2 Pb 2.65

Results
density of states at the Fermi level = 3.18 states/eV per cell
DFT total energy = -0.1505 Ha/atom
space-group type = No. 123



[12]
Compound: Th8Sn3
Source: Alexandria via LeMat-Bulk
Functional: PBE-GGA
Structure: relaxed

Lattice parameters (Å, degrees): 7.2657 7.2657 7.2657 90.91 90.91 90.91
With the nearest neighbours (Å) after each atom.
Atoms (fractional coordinates):
Th  0.1313  0.1313  0.1313  3 Sn 3.02, 1 Th 3.25
Th  0.1729  0.6090  0.3806  2 Sn 3.11-3.24, 1 Th 3.45
Th  0.3806  0.1729  0.6090  2 Sn 3.11-3.24, 1 Th 3.45
Th  0.3910  0.6194  0.8271  2 Sn 3.11-3.24, 1 Th 3.45
Th  0.6090  0.3806  0.1729  2 Sn 3.11-3.24, 1 Th 3.45
Th  0.6194  0.8271  0.3910  2 Sn 3.11-3.24, 1 Th 3.45
Th  0.8271  0.3910  0.6194  2 Sn 3.11-3.24, 1 Th 3.45
Th  0.8687  0.8687  0.8687  3 Sn 3.02, 1 Th 3.25
Sn  0.0000  0.0000  0.5000  6 Th 3.02-3.24
Sn  0.0000  0.5000  0.0000  6 Th 3.02-3.24
Sn  0.5000  0.0000  0.0000  6 Th 3.02-3.24

Results
energy of formation from the pure elements = 0.1413 eV/atom
density of states at the Fermi level = 16.20 states/eV per cell
DFT total energy = -0.2332 Ha/atom
space-group type = No. 148



Q: What is the DFT total energy in the eighth record?
A: -0.1735 Ha/atom